[1]
Computed, not measured: LiTl at its PBEsol-relaxed geometry at the meta-GGA SCAN level of DFT.

As for the total energy: -37.646 eV per atom. The calculation puts the spin magnetization at 0.00 μB/f.u. As for the space group: C2/m (12). The calculation puts the formation energy at -6.28 kcal/mol of atoms.

Cell and atoms, written as extended XYZ:
```
4
Lattice="5.1091 -1.7439 0.0000 5.1091 1.7439 0.0000 -1.3435 0.0000 4.6784" Properties=species:S:1:pos:R:3 pbc="T T T"
Li 0.8055 0.0000 1.5815
Li 8.0691 0.0000 3.0969
Tl 3.6458 0.0000 0.8053
Tl 5.2288 0.0000 3.8731
```

[2]
Computed, not measured: Te2PAu at its PBEsol-relaxed geometry at the meta-GGA SCAN level of DFT.

As for the total energy: -38.164 eV per atom. The calculation puts the spin magnetization at 0.00 μB/f.u. The calculation puts the uncorrected formation energy at 1.40 eV/f.u. As for the space group: Immm (71).

Cell and atoms, written as extended XYZ:
```
4
Lattice="-1.9015 3.6362 3.7993 1.9015 -3.6362 3.7993 1.9015 3.6362 -3.7993" Properties=species:S:1:pos:R:3 pbc="T T T"
Te 0.0000 0.0000 1.8358
Te 0.0000 0.0000 5.7628
P 1.9015 0.0000 0.0000
Au 0.0000 3.6362 0.0000
```

[3]
Computed, not measured: CrNi2 at its PBEsol-relaxed geometry at the meta-GGA SCAN level of DFT.

As for the total energy: -16.826 eV per atom. The calculation puts the spin magnetization at 0.00 μB/f.u. As for the space group: C2/m (12). The calculation puts the formation energy at 1.95 kcal/mol of atoms.

Cell and atoms, written as extended XYZ:
```
6
Lattice="4.5681 -1.2262 0.0000 4.5681 1.2262 0.0000 -1.4653 0.0000 5.6334" Properties=species:S:1:pos:R:3 pbc="T T T"
Cr -0.2309 0.0000 1.7406
Cr 7.9019 0.0000 3.8928
Ni 2.2596 0.0000 2.0440
Ni 1.8907 0.0000 5.4650
Ni 5.7802 0.0000 0.1684
Ni 5.4114 0.0000 3.5894
```